# AlCuRh4

Crystalline AlCuRh4 at its relaxed geometry (GGA-PBE, Alexandria).

Lattice parameters (Å, degrees): 5.077 5.077 5.077 60.00 60.00 60.00
Fractional positions:
Al 0.000 0.000 0.000
Cu 0.750 0.750 0.750
Rh 0.375 0.375 0.375
Rh 0.375 0.375 0.875
Rh 0.375 0.875 0.375
Rh 0.875 0.375 0.375

E_tot in eV for the cell shown: -36.31
DOS(E_F) in states/eV/f.u.: 10.15
E_form in eV/atom: 0.156
Symmetry: F-43m


# LaYbHg2

Crystalline LaYbHg2 at its relaxed geometry (GGA-PBE, Alexandria).

Lattice parameters (Å, degrees): 7.666 7.666 7.666 90.00 90.00 90.00
Fractional positions:
La 0.000 0.000 0.000
La 0.000 0.500 0.500
La 0.500 0.000 0.500
La 0.500 0.500 0.000
Yb 0.000 0.000 0.500
Yb 0.000 0.500 0.000
Yb 0.500 0.000 0.000
Yb 0.500 0.500 0.500
Hg 0.250 0.250 0.250
Hg 0.250 0.250 0.750
Hg 0.250 0.750 0.250
Hg 0.250 0.750 0.750
Hg 0.750 0.250 0.250
Hg 0.750 0.250 0.750
Hg 0.750 0.750 0.250
Hg 0.750 0.750 0.750

E_tot in eV for the cell shown: -37.79
DOS(E_F) in states/eV/f.u.: 4.01
E_form in eV/atom: -0.598
Symmetry: Fm-3m


# DyYHgAu

Crystalline DyYHgAu at its relaxed geometry (GGA-PBE, Alexandria).

Lattice parameters (Å, degrees): 7.327 7.327 7.327 90.00 90.00 90.00
Fractional positions:
Dy 0.000 0.000 0.000
Dy 0.000 0.500 0.500
Dy 0.500 0.000 0.500
Dy 0.500 0.500 0.000
Y 0.000 0.000 0.500
Y 0.000 0.500 0.000
Y 0.500 0.000 0.000
Y 0.500 0.500 0.500
Hg 0.250 0.250 0.250
Hg 0.250 0.750 0.750
Hg 0.750 0.250 0.750
Hg 0.750 0.750 0.250
Au 0.250 0.250 0.750
Au 0.250 0.750 0.250
Au 0.750 0.250 0.250
Au 0.750 0.750 0.750

E_tot in eV for the cell shown: -69.24
Energy relative to the lowest polymorph listed for this composition in eV per formula unit: 0.05
DOS(E_F) in states/eV/f.u.: 3.71
E_form in eV/atom: -0.666
Symmetry: F-43m


# CdGa3Au2

Crystalline CdGa3Au2 at its relaxed geometry (GGA-PBE, Alexandria).

Lattice parameters (Å, degrees): 8.269 8.269 8.670 117.76 117.76 26.84
Fractional positions:
Cd 0.113 0.113 0.118
Cd 0.887 0.887 0.882
Ga 0.046 0.046 0.663
Ga 0.312 0.312 0.101
Ga 0.334 0.334 0.536
Ga 0.666 0.666 0.464
Ga 0.688 0.688 0.899
Ga 0.954 0.954 0.337
Au 0.227 0.227 0.712
Au 0.496 0.496 0.181
Au 0.504 0.504 0.819
Au 0.773 0.773 0.288

E_tot in eV for the cell shown: -35.08
DOS(E_F) in states/eV/f.u.: 1.51
E_form in eV/atom: -0.165
Symmetry: C2/m